1.
This record from Alexandria via LeMat-Bulk describes an optimized crystal structure of FeSbTe2Br. The functional is PBE-GGA.

The structure in CIF format:
```
data_FeSbTe2Br
_chemical_formula_sum 'Fe1 Sb1 Te2 Br1'
_space_group_name_H-M_alt 'P 4/m m m'
_space_group_IT_number 123
_space_group_name_Hall '-P 4 2'
_cell_length_a 5.574
_cell_length_b 5.574
_cell_length_c 5.527
_cell_angle_alpha 90.00
_cell_angle_beta 90.00
_cell_angle_gamma 90.00
loop_
_atom_site_label
_atom_site_fract_x
_atom_site_fract_y
_atom_site_fract_z
Fe1 0.000 0.000 0.000
Sb1 0.500 0.500 0.000
Te1 0.000 0.500 0.500
Br1 0.500 0.500 0.500
```

offset from the most stable computed form: 1079 meV/atom

2.
This record from Alexandria via LeMat-Bulk describes an optimized crystal structure of Fe2SbTeBr. The functional is PBE-GGA.

The structure in CIF format:
```
data_Fe2SbTeBr
_chemical_formula_sum 'Fe2 Sb1 Te1 Br1'
_space_group_name_H-M_alt 'P 4/m m m'
_space_group_IT_number 123
_space_group_name_Hall '-P 4 2'
_cell_length_a 4.824
_cell_length_b 4.824
_cell_length_c 6.237
_cell_angle_alpha 90.00
_cell_angle_beta 90.00
_cell_angle_gamma 90.00
loop_
_atom_site_label
_atom_site_fract_x
_atom_site_fract_y
_atom_site_fract_z
Fe1 0.000 0.500 0.000
Sb1 0.000 0.000 0.500
Te1 0.000 0.000 0.000
Br1 0.500 0.500 0.500
```

electronic total energy: -4.219 eV per atom

3.
This record from Alexandria via LeMat-Bulk describes an optimized crystal structure of FeSb2TeBr. The functional is PBE-GGA.

The structure in CIF format:
```
data_FeSb2TeBr
_chemical_formula_sum 'Fe1 Sb2 Te1 Br1'
_space_group_name_H-M_alt 'P 4/m m m'
_space_group_IT_number 123
_space_group_name_Hall '-P 4 2'
_cell_length_a 5.363
_cell_length_b 5.363
_cell_length_c 5.534
_cell_angle_alpha 90.00
_cell_angle_beta 90.00
_cell_angle_gamma 90.00
loop_
_atom_site_label
_atom_site_fract_x
_atom_site_fract_y
_atom_site_fract_z
Fe1 0.000 0.000 0.000
Sb1 0.000 0.500 0.500
Te1 0.500 0.500 0.000
Br1 0.500 0.500 0.500
```

offset from the most stable computed form: 1079 meV/atom

4.
This record from Alexandria via LeMat-Bulk describes an optimized crystal structure of FeSb2TeBr. The functional is PBE-GGA.

The structure in CIF format:
```
data_FeSb2TeBr
_chemical_formula_sum 'Fe1 Sb2 Te1 Br1'
_space_group_name_H-M_alt 'P 4/m m m'
_space_group_IT_number 123
_space_group_name_Hall '-P 4 2'
_cell_length_a 5.059
_cell_length_b 5.059
_cell_length_c 4.981
_cell_angle_alpha 90.00
_cell_angle_beta 90.00
_cell_angle_gamma 90.00
loop_
_atom_site_label
_atom_site_fract_x
_atom_site_fract_y
_atom_site_fract_z
Fe1 0.000 0.000 0.000
Sb1 0.000 0.500 0.000
Te1 0.000 0.000 0.500
Br1 0.500 0.500 0.500
```

offset from the most stable computed form: 0 meV/atom

5.
This record from Alexandria via LeMat-Bulk describes an optimized crystal structure of FeSbTe2Br. The functional is PBE-GGA.

The structure in CIF format:
```
data_FeSbTe2Br
_chemical_formula_sum 'Fe1 Sb1 Te2 Br1'
_space_group_name_H-M_alt 'P 4/m m m'
_space_group_IT_number 123
_space_group_name_Hall '-P 4 2'
_cell_length_a 5.056
_cell_length_b 5.056
_cell_length_c 5.282
_cell_angle_alpha 90.00
_cell_angle_beta 90.00
_cell_angle_gamma 90.00
loop_
_atom_site_label
_atom_site_fract_x
_atom_site_fract_y
_atom_site_fract_z
Fe1 0.000 0.000 0.000
Sb1 0.000 0.000 0.500
Te1 0.000 0.500 0.000
Br1 0.500 0.500 0.500
```

offset from the most stable computed form: 0 meV/atom

6.
This record from Alexandria via LeMat-Bulk describes an optimized crystal structure of Tl2FeSbBr. The functional is PBE-GGA.

The structure in CIF format:
```
data_Tl2FeSbBr
_chemical_formula_sum 'Tl2 Fe1 Sb1 Br1'
_space_group_name_H-M_alt 'P 4/m m m'
_space_group_IT_number 123
_space_group_name_Hall '-P 4 2'
_cell_length_a 5.523
_cell_length_b 5.523
_cell_length_c 4.369
_cell_angle_alpha 90.00
_cell_angle_beta 90.00
_cell_angle_gamma 90.00
loop_
_atom_site_label
_atom_site_fract_x
_atom_site_fract_y
_atom_site_fract_z
Tl1 0.000 0.500 0.000
Fe1 0.000 0.000 0.000
Sb1 0.500 0.500 0.500
Br1 0.000 0.000 0.500
```

electronic total energy: -3.344 eV per atom

7.
This record from Alexandria via LeMat-Bulk describes an optimized crystal structure of ScFe2Br. The functional is PBE-GGA.

The structure in CIF format:
```
data_ScFe2Br
_chemical_formula_sum 'Sc1 Fe2 Br1'
_space_group_name_H-M_alt 'P 3 m 1'
_space_group_IT_number 156
_space_group_name_Hall 'P 3 -2"'
_cell_length_a 3.6093
_cell_length_b 3.6093
_cell_length_c 6.5409
_cell_angle_alpha 90.00
_cell_angle_beta 90.00
_cell_angle_gamma 120.00
loop_
_atom_site_label
_atom_site_fract_x
_atom_site_fract_y
_atom_site_fract_z
Sc1 0.0000 0.0000 0.0000
Fe1 0.3333 0.6667 0.6720
Fe2 0.6667 0.3333 0.7566
Br1 0.3333 0.6667 0.2924
```

offset from the most stable computed form: 0 meV/atom

8.
This record from Alexandria via LeMat-Bulk describes an optimized crystal structure of Sc2FeBr. The functional is PBE-GGA.

The structure in CIF format:
```
data_Sc2FeBr
_chemical_formula_sum 'Sc2 Fe1 Br1'
_space_group_name_H-M_alt 'P 1 2/m 1'
_space_group_IT_number 10
_space_group_name_Hall '-P 2y'
_cell_length_a 4.882
_cell_length_b 3.182
_cell_length_c 4.897
_cell_angle_alpha 90.00
_cell_angle_beta 100.96
_cell_angle_gamma 90.00
loop_
_atom_site_label
_atom_site_fract_x
_atom_site_fract_y
_atom_site_fract_z
Sc1 0.000 0.000 0.000
Sc2 0.500 0.000 0.500
Fe1 0.000 0.500 0.500
Br1 0.500 0.500 0.000
```

offset from the most stable computed form: 369 meV/atom

9.
This record from Alexandria via LeMat-Bulk describes an optimized crystal structure of ScFe2Br. The functional is PBE-GGA.

The structure in CIF format:
```
data_ScFe2Br
_chemical_formula_sum 'Sc2 Fe4 Br2'
_space_group_name_H-M_alt 'C m m m'
_space_group_IT_number 65
_space_group_name_Hall '-C 2 2'
_cell_length_a 5.160
_cell_length_b 8.851
_cell_length_c 3.158
_cell_angle_alpha 90.00
_cell_angle_beta 90.00
_cell_angle_gamma 90.00
loop_
_atom_site_label
_atom_site_fract_x
_atom_site_fract_y
_atom_site_fract_z
Sc1 0.000 0.000 0.000
Fe1 0.250 0.250 0.500
Br1 0.000 0.500 0.000
```

offset from the most stable computed form: 470 meV/atom

10.
This record from Alexandria via LeMat-Bulk describes an optimized crystal structure of Sc2FeBr. The functional is PBE-GGA.

The structure in CIF format:
```
data_Sc2FeBr
_chemical_formula_sum 'Sc2 Fe1 Br1'
_space_group_name_H-M_alt 'P 4 m m'
_space_group_IT_number 99
_space_group_name_Hall 'P 4 -2'
_cell_length_a 3.582
_cell_length_b 3.582
_cell_length_c 6.883
_cell_angle_alpha 90.00
_cell_angle_beta 90.00
_cell_angle_gamma 90.00
loop_
_atom_site_label
_atom_site_fract_x
_atom_site_fract_y
_atom_site_fract_z
Sc1 0.000 0.000 0.000
Sc2 0.500 0.500 0.374
Fe1 0.500 0.500 0.066
Br1 0.000 0.000 0.576
```

offset from the most stable computed form: 284 meV/atom

11.
This record from Alexandria via LeMat-Bulk describes an optimized crystal structure of Sc2FeBr. The functional is PBE-GGA.

The structure in CIF format:
```
data_Sc2FeBr
_chemical_formula_sum 'Sc4 Fe2 Br2'
_space_group_name_H-M_alt 'C 1 m 1'
_space_group_IT_number 8
_space_group_name_Hall 'C -2y'
_cell_length_a 10.142
_cell_length_b 3.287
_cell_length_c 4.389
_cell_angle_alpha 90.00
_cell_angle_beta 95.28
_cell_angle_gamma 90.00
loop_
_atom_site_label
_atom_site_fract_x
_atom_site_fract_y
_atom_site_fract_z
Sc1 0.000 0.000 0.000
Sc2 0.205 0.500 0.548
Fe1 0.465 0.000 0.510
Br1 0.276 0.000 0.063
```

offset from the most stable computed form: 262 meV/atom

12.
This record from Alexandria via LeMat-Bulk describes an optimized crystal structure of ScFe2Br. The functional is PBE-GGA.

The structure in CIF format:
```
data_ScFe2Br
_chemical_formula_sum 'Sc2 Fe4 Br2'
_space_group_name_H-M_alt 'A m m 2'
_space_group_IT_number 38
_space_group_name_Hall 'A 2 -2'
_cell_length_a 3.158
_cell_length_b 3.201
_cell_length_c 14.240
_cell_angle_alpha 90.00
_cell_angle_beta 90.00
_cell_angle_gamma 90.00
loop_
_atom_site_label
_atom_site_fract_x
_atom_site_fract_y
_atom_site_fract_z
Sc1 0.000 0.000 0.000
Fe1 0.000 0.000 0.194
Fe2 0.500 0.000 0.619
Br1 0.500 0.000 0.370
```

offset from the most stable computed form: 11 meV/atom

13.
This record from Alexandria via LeMat-Bulk describes an optimized crystal structure of Sc3FeBr. The functional is PBE-GGA.

The structure in CIF format:
```
data_Sc3FeBr
_chemical_formula_sum 'Sc3 Fe1 Br1'
_space_group_name_H-M_alt 'P m -3 m'
_space_group_IT_number 221
_space_group_name_Hall '-P 4 2 3'
_cell_length_a 4.922
_cell_length_b 4.922
_cell_length_c 4.922
_cell_angle_alpha 90.00
_cell_angle_beta 90.00
_cell_angle_gamma 90.00
loop_
_atom_site_label
_atom_site_fract_x
_atom_site_fract_y
_atom_site_fract_z
Sc1 0.000 0.000 0.500
Fe1 0.500 0.500 0.500
Br1 0.000 0.000 0.000
```

offset from the most stable computed form: 381 meV/atom

14.
This record from Alexandria via LeMat-Bulk describes an optimized crystal structure of ScFe2Br. The functional is PBE-GGA.

The structure in CIF format:
```
data_ScFe2Br
_chemical_formula_sum 'Sc1 Fe2 Br1'
_space_group_name_H-M_alt 'P m m m'
_space_group_IT_number 47
_space_group_name_Hall '-P 2 2'
_cell_length_a 3.302
_cell_length_b 4.116
_cell_length_c 4.819
_cell_angle_alpha 90.00
_cell_angle_beta 90.00
_cell_angle_gamma 90.00
loop_
_atom_site_label
_atom_site_fract_x
_atom_site_fract_y
_atom_site_fract_z
Sc1 0.000 0.000 0.000
Fe1 0.000 0.500 0.500
Fe2 0.500 0.000 0.500
Br1 0.500 0.500 0.000
```

offset from the most stable computed form: 317 meV/atom

15.
This record from Alexandria via LeMat-Bulk describes an optimized crystal structure of Sc2FeBr. The functional is PBE-GGA.

The structure in CIF format:
```
data_Sc2FeBr
_chemical_formula_sum 'Sc6 Fe3 Br3'
_space_group_name_H-M_alt 'R 3 m'
_space_group_IT_number 160
_space_group_name_Hall 'R 3 -2"'
_cell_length_a 3.3379
_cell_length_b 3.3379
_cell_length_c 28.5859
_cell_angle_alpha 90.00
_cell_angle_beta 90.00
_cell_angle_gamma 120.00
loop_
_atom_site_label
_atom_site_fract_x
_atom_site_fract_y
_atom_site_fract_z
Sc1 0.0000 0.0000 0.0000
Sc2 0.0000 0.0000 0.2388
Fe1 0.0000 0.0000 0.5051
Br1 0.0000 0.0000 0.7337
```

offset from the most stable computed form: 454 meV/atom

16.
This record from Alexandria via LeMat-Bulk describes an optimized crystal structure of ScFe2Br. The functional is PBE-GGA.

The structure in CIF format:
```
data_ScFe2Br
_chemical_formula_sum 'Sc4 Fe8 Br4'
_space_group_name_H-M_alt 'F m -3 m'
_space_group_IT_number 225
_space_group_name_Hall '-F 4 2 3'
_cell_length_a 6.304
_cell_length_b 6.304
_cell_length_c 6.304
_cell_angle_alpha 90.00
_cell_angle_beta 90.00
_cell_angle_gamma 90.00
loop_
_atom_site_label
_atom_site_fract_x
_atom_site_fract_y
_atom_site_fract_z
Sc1 0.000 0.000 0.000
Fe1 0.250 0.250 0.250
Br1 0.000 0.000 0.500
```

offset from the most stable computed form: 699 meV/atom

17.
This record from Alexandria via LeMat-Bulk describes an optimized crystal structure of Sc2FeBr. The functional is PBE-GGA.

The structure in CIF format:
```
data_Sc2FeBr
_chemical_formula_sum 'Sc4 Fe2 Br2'
_space_group_name_H-M_alt 'I m m m'
_space_group_IT_number 71
_space_group_name_Hall '-I 2 2'
_cell_length_a 3.671
_cell_length_b 5.340
_cell_length_c 8.089
_cell_angle_alpha 90.00
_cell_angle_beta 90.00
_cell_angle_gamma 90.00
loop_
_atom_site_label
_atom_site_fract_x
_atom_site_fract_y
_atom_site_fract_z
Sc1 0.000 0.000 0.238
Fe1 0.000 0.500 0.500
Br1 0.000 0.500 0.000
```

offset from the most stable computed form: 459 meV/atom

18.
This record from Alexandria via LeMat-Bulk describes an optimized crystal structure of Sc2FeBr. The functional is PBE-GGA.

The structure in CIF format:
```
data_Sc2FeBr
_chemical_formula_sum 'Sc8 Fe4 Br4'
_space_group_name_H-M_alt 'F m -3 m'
_space_group_IT_number 225
_space_group_name_Hall '-F 4 2 3'
_cell_length_a 6.647
_cell_length_b 6.647
_cell_length_c 6.647
_cell_angle_alpha 90.00
_cell_angle_beta 90.00
_cell_angle_gamma 90.00
loop_
_atom_site_label
_atom_site_fract_x
_atom_site_fract_y
_atom_site_fract_z
Sc1 0.250 0.250 0.250
Fe1 0.000 0.000 0.000
Br1 0.000 0.000 0.500
```

offset from the most stable computed form: 584 meV/atom

19.
This record from Alexandria via LeMat-Bulk describes an optimized crystal structure of ScFe2Br. The functional is PBE-GGA.

The structure in CIF format:
```
data_ScFe2Br
_chemical_formula_sum 'Sc1 Fe2 Br1'
_space_group_name_H-M_alt 'P 4/m m m'
_space_group_IT_number 123
_space_group_name_Hall '-P 4 2'
_cell_length_a 3.524
_cell_length_b 3.524
_cell_length_c 5.705
_cell_angle_alpha 90.00
_cell_angle_beta 90.00
_cell_angle_gamma 90.00
loop_
_atom_site_label
_atom_site_fract_x
_atom_site_fract_y
_atom_site_fract_z
Sc1 0.000 0.000 0.000
Fe1 0.500 0.500 0.198
Br1 0.000 0.000 0.500
```

offset from the most stable computed form: 286 meV/atom

20.
This record from Alexandria via LeMat-Bulk describes an optimized crystal structure of ScFe2Br. The functional is PBE-GGA.

The structure in CIF format:
```
data_ScFe2Br
_chemical_formula_sum 'Sc3 Fe6 Br3'
_space_group_name_H-M_alt 'R -3 m'
_space_group_IT_number 166
_space_group_name_Hall '-R 3 2"'
_cell_length_a 3.1764
_cell_length_b 3.1764
_cell_length_c 24.9576
_cell_angle_alpha 90.00
_cell_angle_beta 90.00
_cell_angle_gamma 120.00
loop_
_atom_site_label
_atom_site_fract_x
_atom_site_fract_y
_atom_site_fract_z
Sc1 0.0000 0.0000 0.0000
Fe1 0.0000 0.0000 0.2469
Br1 0.0000 0.0000 0.5000
```

offset from the most stable computed form: 491 meV/atom